# Sm2AlGa

Sm2AlGa after structural relaxation (GGA-PBE, Alexandria).

- DFT formation energy (eV/atom) = -0.486
- SG = Amm2 (38)
- density of states at the Fermi level (states/eV/cell) = 8.7
- calculated total energy (eV/atom) = -4.538

a = 4.160 Å, b = 4.473 Å, c = 11.289 Å
α = 90.00°, β = 90.00°, γ = 90.00°
Atoms (fractional coordinates):
Sm (0.000, 0.000, 0.000)
Sm (0.000, 0.500, 0.500)
Sm (0.500, 0.000, 0.283)
Sm (0.500, 0.500, 0.783)
Al (0.000, 0.000, 0.709)
Al (0.000, 0.500, 0.209)
Ga (0.500, 0.000, 0.567)
Ga (0.500, 0.500, 0.067)